# NiAs2BrF (GGA+U, optimized geometry)
data_NiAs2BrF
_space_group_name_H-M_alt 'P 1'
_space_group_IT_number 1
_cell_length_a 4.2593
_cell_length_b 4.2593
_cell_length_c 5.9721
_cell_angle_alpha 90.00
_cell_angle_beta 90.00
_cell_angle_gamma 90.00
loop_
_space_group_symop_operation_xyz
'x,y,z'
loop_
_atom_site_label
_atom_site_type_symbol
_atom_site_fract_x
_atom_site_fract_y
_atom_site_fract_z
Ni1 Ni 0.0000 0.0000 0.0000
As1 As 0.0000 0.5000 0.5000
As2 As 0.5000 0.0000 0.5000
Br1 Br 0.5000 0.5000 0.0000
F1 F 0.5000 0.5000 0.5000
# - Total energy: -13.22 eV/f.u.
# - Magnetic moment: 1.135 μB per cell